Computed, not measured: an optimized crystal structure of CsKFe4S6 at the GGA-PBEsol level of DFT.

Cell lengths 5.0905, 7.0746, 7.0746 Å; angles 101.69, 90.00, 90.00 degrees
Sites, in units of the cell vectors:
Cs 0.0000 0.3282 0.6718
K 0.5000 0.6757 0.3243
Fe 0.2496 0.1411 0.1390
Fe 0.7504 0.1411 0.1390
Fe 0.2496 0.8610 0.8589
Fe 0.7504 0.8610 0.8589
S 0.0000 0.3822 0.1730
S 0.5000 0.1561 0.3756
S 0.5000 0.6244 0.8439
S 0.0000 0.8270 0.6178
S 0.0000 0.8916 0.1084
S 0.5000 0.1107 0.8893

Uncorrected formation energy in eV per atom: -0.748
Symmetry: No. 38
Size of the total moment in μB/f.u.: 0.005
Calculated density in g/cm3: 3.91
Energy in eV per cell: -73.21



Computed, not measured: an optimized crystal structure of CsLaSc2Fe at the GGA-PBEsol level of DFT.

Cell lengths 5.1354, 5.1354, 5.2372 Å; angles 90.00, 90.00, 90.00 degrees
Sites, in units of the cell vectors:
Cs 0.5000 0.5000 0.5000
Sc 0.0000 0.5000 0.0000
Sc 0.5000 0.0000 0.0000
Fe 0.0000 0.0000 0.0000
La 0.0000 0.0000 0.5000

DFT formation energy in eV/atom: 0.359
Symmetry: No. 123
Size of the total moment in μB/f.u.: 0.000
Calculated density in g/cm3: 5.02
Energy in eV per cell: -26.67



Computed, not measured: an optimized crystal structure of CsMgFeRe2 at the GGA-PBEsol level of DFT.

Cell lengths 4.5082, 4.5082, 5.1210 Å; angles 90.00, 90.00, 90.00 degrees
Sites, in units of the cell vectors:
Cs 0.5000 0.5000 0.5000
Re 0.0000 0.5000 0.0000
Re 0.5000 0.0000 0.0000
Mg 0.0000 0.0000 0.5000
Fe 0.0000 0.0000 0.0000

DFT formation energy in eV/atom: 1.553
Symmetry: No. 123
Size of the total moment in μB/f.u.: 0.001
Calculated density in g/cm3: 9.34
Energy in eV per cell: -30.52



Question: Which of these has the highest size of the total moment?
Answer: CsKFe4S6